# Sc2Cu2Sb

A geometry-optimized Sc2Cu2Sb structure (PBE, Alexandria via LeMat-Bulk).

Properties
* energy above the most stable polymorph in this dataset: 246 meV/atom
* E_form (uncorrected): -111.9 kJ/mol of formula units
* total magnetic moment: 0.54 μB/f.u.
* crystal system: tetragonal

Cell lengths 3.4644, 3.4644, 16.3504 Å; angles 90.00, 90.00, 90.00 degrees
Closest atoms and distances in Å follow each position.
Space group I4/mmm (No. 139)
Unique sites:
Sc (0.0000, 0.0000, 0.1144) (multiplicity 4)  4 Cu 2.81, 4 Sb 3.08
Cu (0.0000, 0.5000, 0.2500) (multiplicity 4)  4 Cu 2.45
Sb (0.0000, 0.0000, 0.5000) (multiplicity 2)  8 Sc 3.08